Entry 1:
# ThCo2NiH8

A geometry-optimized ThCo2NiH8 structure (PBE, Alexandria via LeMat-Bulk).

Total energy ... -56.77 eV for the cell shown

Unit cell a=5.8324 b=5.8324 c=5.8324 alpha=44.82 beta=44.82 gamma=44.82
With the nearest neighbours (Å) after each atom.
Sites, in units of the cell vectors:
Th 0.0000 0.0000 0.0000  12 H 2.34-2.60
Co 0.2042 0.2042 0.2042  4 H 1.62-1.63
Co 0.7958 0.7958 0.7958  4 H 1.62-1.63
Ni 0.5000 0.5000 0.5000  6 H 1.66
H 0.1405 0.8168 0.4119  1 Co 1.63, 1 Ni 1.66
H 0.1832 0.5881 0.8595  1 Co 1.63, 1 Ni 1.66
H 0.3072 0.3072 0.3072  1 Co 1.62
H 0.4119 0.1405 0.8168  1 Co 1.63, 1 Ni 1.66
H 0.5881 0.8595 0.1832  1 Co 1.63, 1 Ni 1.66
H 0.6928 0.6928 0.6928  1 Co 1.62
H 0.8168 0.4119 0.1405  1 Co 1.63, 1 Ni 1.66
H 0.8595 0.1832 0.5881  1 Co 1.63, 1 Ni 1.66

Entry 2:
# TiCo2NiH

A geometry-optimized TiCo2NiH structure (PBE, Alexandria via LeMat-Bulk).

Total energy ... -32.61 eV for the cell shown
Energy relative to the lowest polymorph listed for this composition ... 0.167 eV per formula unit

Unit cell a=3.5887 b=3.5887 c=3.7792 alpha=90.00 beta=90.00 gamma=90.00
With the nearest neighbours (Å) after each atom.
Sites, in units of the cell vectors:
Ti 0.0000 0.0000 0.0000  2 H 1.89
Co 0.0000 0.5000 0.5000  2 H 1.79
Co 0.5000 0.0000 0.5000  2 H 1.79
Ni 0.5000 0.5000 0.0000  4 Ti 2.54, 8 Co 2.61
H 0.0000 0.0000 0.5000  4 Co 1.79, 2 Ti 1.89

Entry 3:
# Ti2CoNiH

A geometry-optimized Ti2CoNiH structure (PBE, Alexandria via LeMat-Bulk).

Total energy ... -33.64 eV for the cell shown
Energy relative to the lowest polymorph listed for this composition ... 0.036 eV per formula unit

Unit cell a=4.0564 b=4.0564 c=3.3821 alpha=90.00 beta=90.00 gamma=90.00
With the nearest neighbours (Å) after each atom.
Sites, in units of the cell vectors:
Ti 0.0000 0.5000 0.0000  2 H 2.03
Ti 0.5000 0.0000 0.0000  2 H 2.03
Co 0.0000 0.0000 0.5000  8 Ti 2.64, 4 Ni 2.87
Ni 0.5000 0.5000 0.5000  2 H 1.69
H 0.5000 0.5000 0.0000  2 Ni 1.69

Entry 4:
# Ti2CoNiH

A geometry-optimized Ti2CoNiH structure (PBE, Alexandria via LeMat-Bulk).

Total energy ... -33.67 eV for the cell shown
Energy relative to the lowest polymorph listed for this composition ... 0.000 eV per formula unit

Unit cell a=4.0491 b=4.0491 c=3.3989 alpha=90.00 beta=90.00 gamma=90.00
With the nearest neighbours (Å) after each atom.
Sites, in units of the cell vectors:
Ti 0.0000 0.5000 0.0000  2 H 2.02
Ti 0.5000 0.0000 0.0000  2 H 2.02
Co 0.0000 0.0000 0.5000  2 H 1.70
Ni 0.5000 0.5000 0.5000  8 Ti 2.64, 4 Co 2.86
H 0.0000 0.0000 0.0000  2 Co 1.70

Entry 5:
# TiCo2NiH

A geometry-optimized TiCo2NiH structure (PBE, Alexandria via LeMat-Bulk).

Total energy ... -32.78 eV for the cell shown
Energy relative to the lowest polymorph listed for this composition ... 0.000 eV per formula unit

Unit cell a=3.6724 b=3.6724 c=3.5714 alpha=90.00 beta=90.00 gamma=90.00
With the nearest neighbours (Å) after each atom.
Sites, in units of the cell vectors:
Ti 0.0000 0.0000 0.0000  8 Co 2.56, 4 Ni 2.60
Co 0.0000 0.5000 0.5000  2 H 1.84
Co 0.5000 0.0000 0.5000  2 H 1.84
Ni 0.5000 0.5000 0.0000  2 H 1.79
H 0.5000 0.5000 0.5000  2 Ni 1.79, 4 Co 1.84

Entry 6:
# TlCoNi2H

A geometry-optimized TlCoNi2H structure (PBE, Alexandria via LeMat-Bulk).

Total energy ... -23.56 eV for the cell shown

Unit cell a=3.8069 b=3.8069 c=3.8439 alpha=90.00 beta=90.00 gamma=90.00
With the nearest neighbours (Å) after each atom.
Sites, in units of the cell vectors:
Tl 0.0000 0.0000 0.0000  4 Co 2.69, 8 Ni 2.70
Co 0.5000 0.5000 0.0000  2 H 1.92
Ni 0.0000 0.5000 0.5000  2 H 1.90
Ni 0.5000 0.0000 0.5000  2 H 1.90
H 0.5000 0.5000 0.5000  4 Ni 1.90, 2 Co 1.92

Entry 7:
# UCoNiH6

A geometry-optimized UCoNiH6 structure (PBE, Alexandria via LeMat-Bulk).

Total energy ... -46.12 eV for the cell shown

Unit cell a=4.3451 b=4.3451 c=4.0550 alpha=90.00 beta=90.00 gamma=120.00
With the nearest neighbours (Å) after each atom.
Sites, in units of the cell vectors:
U 0.0000 0.0000 0.0000  12 H 2.38
Co 0.6667 0.3333 0.5000  6 H 1.63
Ni 0.3333 0.6667 0.5000  6 H 1.66
H 0.5031 0.0063 0.2373  1 Co 1.63, 1 Ni 1.66
H 0.5031 0.0063 0.7627  1 Co 1.63, 1 Ni 1.66
H 0.5031 0.4969 0.2373  1 Co 1.63, 1 Ni 1.66
H 0.5031 0.4969 0.7627  1 Co 1.63, 1 Ni 1.66
H 0.9937 0.4969 0.2373  1 Co 1.63, 1 Ni 1.66
H 0.9937 0.4969 0.7627  1 Co 1.63, 1 Ni 1.66

Entry 8:
# VCoNi2H

A geometry-optimized VCoNi2H structure (PBE, Alexandria via LeMat-Bulk).

Total energy ... -31.55 eV for the cell shown
Energy relative to the lowest polymorph listed for this composition ... 0.000 eV per formula unit

Unit cell a=3.5587 b=3.5587 c=3.7154 alpha=90.00 beta=90.00 gamma=90.00
With the nearest neighbours (Å) after each atom.
Sites, in units of the cell vectors:
V 0.0000 0.0000 0.0000  4 Co 2.52, 8 Ni 2.57
Co 0.5000 0.5000 0.0000  2 H 1.86
Ni 0.0000 0.5000 0.5000  2 H 1.78
Ni 0.5000 0.0000 0.5000  2 H 1.78
H 0.5000 0.5000 0.5000  4 Ni 1.78, 2 Co 1.86

Entry 9:
# VCoNi2H

A geometry-optimized VCoNi2H structure (PBE, Alexandria via LeMat-Bulk).

Total energy ... -31.53 eV for the cell shown
Energy relative to the lowest polymorph listed for this composition ... 0.020 eV per formula unit

Unit cell a=3.5054 b=3.5054 c=3.8424 alpha=90.00 beta=90.00 gamma=90.00
With the nearest neighbours (Å) after each atom.
Sites, in units of the cell vectors:
V 0.0000 0.0000 0.0000  2 H 1.92
Co 0.5000 0.5000 0.0000  4 V 2.48, 8 Ni 2.60
Ni 0.0000 0.5000 0.5000  2 H 1.75
Ni 0.5000 0.0000 0.5000  2 H 1.75
H 0.0000 0.0000 0.5000  4 Ni 1.75, 2 V 1.92

Entry 10:
# Co2NiHW

A geometry-optimized Co2NiHW structure (PBE, Alexandria via LeMat-Bulk).

Total energy ... -36.00 eV for the cell shown
Energy relative to the lowest polymorph listed for this composition ... 0.000 eV per formula unit

Unit cell a=3.7089 b=3.7089 c=3.5628 alpha=90.00 beta=90.00 gamma=90.00
With the nearest neighbours (Å) after each atom.
Sites, in units of the cell vectors:
Co 0.0000 0.5000 0.0000  2 H 1.85
Co 0.5000 0.0000 0.0000  2 H 1.85
Ni 0.0000 0.0000 0.5000  2 H 1.78
H 0.0000 0.0000 0.0000  2 Ni 1.78, 4 Co 1.85
W 0.5000 0.5000 0.5000  8 Co 2.57, 4 Ni 2.62

Entry 11:
# CoNiHW2

A geometry-optimized CoNiHW2 structure (PBE, Alexandria via LeMat-Bulk).

Total energy ... -41.47 eV for the cell shown
Energy relative to the lowest polymorph listed for this composition ... 0.000 eV per formula unit

Unit cell a=3.9230 b=3.9230 c=3.6203 alpha=90.00 beta=90.00 gamma=90.00
With the nearest neighbours (Å) after each atom.
Sites, in units of the cell vectors:
Co 0.0000 0.0000 0.0000  2 H 1.81
Ni 0.5000 0.5000 0.0000  8 W 2.67, 4 Co 2.77
H 0.0000 0.0000 0.5000  2 Co 1.81, 4 W 1.96
W 0.0000 0.5000 0.5000  2 H 1.96
W 0.5000 0.0000 0.5000  2 H 1.96

Entry 12:
# CoNi2HW

A geometry-optimized CoNi2HW structure (PBE, Alexandria via LeMat-Bulk).

Total energy ... -34.26 eV for the cell shown
Energy relative to the lowest polymorph listed for this composition ... 0.138 eV per formula unit

Unit cell a=3.6348 b=3.6348 c=3.7772 alpha=90.00 beta=90.00 gamma=90.00
With the nearest neighbours (Å) after each atom.
Sites, in units of the cell vectors:
Co 0.0000 0.0000 0.0000  2 H 1.89
Ni 0.0000 0.5000 0.5000  2 H 1.82
Ni 0.5000 0.0000 0.5000  2 H 1.82
H 0.0000 0.0000 0.5000  4 Ni 1.82, 2 Co 1.89
W 0.5000 0.5000 0.0000  4 Co 2.57, 8 Ni 2.62

| no. | magnetic moment (μB/f.u.) |
| --- | --- |
| 1 | 0.01 |
| 2 | 0.84 |
| 3 | 0.64 |
| 4 | 0.79 |
| 5 | 0.79 |
| 6 | 1.01 |
| 7 | 1.79 |
| 8 | 1.03 |
| 9 | 0.70 |
| 10 | 0.00 |
| 11 | 0.23 |
| 12 | 1.50 |